# 1
The following is a PBE calculation of Pm2LuSc after structural relaxation, from Alexandria via LeMat-Bulk.

Properties
- D(E_F): 1.44 states/eV/atom
- Raw total energy: -5.05 eV/atom
- Theoretical density: 6.96 g/cm3
- Space-group type: P4/mmm, No. 123
- Energy of formation: 0.04 eV per atom
- Energy above the lowest structure with this stoichiometry: 0 meV/atom

a b c (Å): 3.5830 3.5830 9.4753
angles (deg): 90.00 90.00 90.00
Fractional coordinates of all 4 atoms:
Pm: 0.0000 0.0000 0.2415
Pm: 0.0000 0.0000 0.7585
Lu: 0.5000 0.5000 0.5000
Sc: 0.5000 0.5000 0.0000

# 2
The following is a PBE calculation of Pm2LuSc after structural relaxation, from Alexandria via LeMat-Bulk.

Properties
- D(E_F): 1.11 states/eV/atom
- Raw total energy: -5.04 eV/atom
- Theoretical density: 7.00 g/cm3
- Space-group type: R-3m, No. 166
- Energy of formation: 0.05 eV per atom
- Energy above the lowest structure with this stoichiometry: 7 meV/atom

a b c (Å): 3.5220 3.5220 33.7753
angles (deg): 90.00 90.00 120.00
Fractional coordinates of all 12 atoms:
Pm: 0.0000 0.0000 0.2477
Pm: 0.0000 0.0000 0.7523
Pm: 0.3333 0.6667 0.4190
Pm: 0.3333 0.6667 0.9144
Pm: 0.6667 0.3333 0.0856
Pm: 0.6667 0.3333 0.5810
Lu: 0.0000 0.0000 0.0000
Lu: 0.3333 0.6667 0.6667
Lu: 0.6667 0.3333 0.3333
Sc: 0.0000 0.0000 0.5000
Sc: 0.3333 0.6667 0.1667
Sc: 0.6667 0.3333 0.8333